Entry 1:
Material: TaTcBr2
Method: DFT, PBE
State: optimized geometry

## Properties
Energy above the lowest structure with this stoichiometry in meV/atom: 992.0
Theoretical density in g cm⁻³: 9.434
Size of the total moment in μB per cell: 0.0
Formation energy from raw total energies in meV/atom: 810.6

Lattice parameters (Å, degrees): 3.5300 4.5589 4.7988 90.00 90.48 90.00
Space group P2/m (No. 10)
Inequivalent atoms, fractional coordinates:
Ta (0.0000, 0.0000, 0.0000)
Tc (0.5000, 0.0000, 0.5000)
Br (0.2458, 0.5000, 0.2531)

---

Entry 2:
Material: Ta2Tc2Br
Method: DFT, PBE
State: optimized geometry

## Properties
Energy above the lowest structure with this stoichiometry in meV/atom: 97.6
Theoretical density in g cm⁻³: 9.273
Size of the total moment in μB per cell: 0.0
Formation energy from raw total energies in meV/atom: 484.1

Lattice parameters (Å, degrees): 3.9490 3.9490 14.6480 90.00 90.00 90.00
Space group I4/mmm (No. 139)
Inequivalent atoms, fractional coordinates:
Ta (0.0000, 0.0000, 0.1404)
Tc (0.0000, 0.5000, 0.2500)
Br (0.0000, 0.0000, 0.5000)

---

Which of these has the lowest theoretical density?
Ta2Tc2Br

---

Which value of energy above the lowest structure with this stoichiometry does entry 1 give?
992.0 meV/atom

---

What is the formula in the second record?
Ta2Tc2Br